Entry 1:
DFT (GGA-PBE) results for BaDy2Cd after structural relaxation.

a b c (Å): 3.632 3.632 12.320
angles (deg): 81.52 81.52 60.00
Positions (direct):
Cd 0.500 0.500 0.500
Ba 0.000 0.000 0.000
Dy 0.100 0.100 0.700
Dy 0.900 0.900 0.300

Output
Crystal system ... trigonal
Uncorrected energy ... -2.838 eV/atom
SG ... R-3m, No. 166
Density ... 6882 kg/m3
Energy above the lowest structure with this stoichiometry ... 171.6 meV/atom
Spin magnetization ... 0.06 μB per atom
Formation energy ... 3.98 kcal/mol of atoms

---

Entry 2:
DFT (GGA-PBE) results for BaDy2Cd after structural relaxation.

a b c (Å): 3.813 3.813 9.619
angles (deg): 90.00 90.00 90.00
Positions (direct):
Cd 0.500 0.500 0.000
Ba 0.500 0.500 0.500
Dy 0.000 0.000 0.817
Dy 0.000 0.000 0.183

Output
Crystal system ... tetragonal
Uncorrected energy ... -3.010 eV/atom
SG ... P4/mmm, No. 123
Density ... 6823 kg/m3
Energy above the lowest structure with this stoichiometry ... 0.0 meV/atom
Spin magnetization ... 0.00 μB per atom
Formation energy ... 0.02 kcal/mol of atoms

---

Entry 3:
DFT (GGA-PBE) results for BaDy4Cd5 after structural relaxation.

a b c (Å): 3.806 3.806 19.440
angles (deg): 90.00 90.00 90.00
Positions (direct):
Ba 0.000 0.000 0.000
Dy 0.000 0.000 0.218
Dy 0.000 0.000 0.406
Dy 0.000 0.000 0.594
Dy 0.000 0.000 0.782
Cd 0.500 0.500 0.128
Cd 0.500 0.500 0.312
Cd 0.500 0.500 0.500
Cd 0.500 0.500 0.688
Cd 0.500 0.500 0.872

Output
Crystal system ... tetragonal
Uncorrected energy ... -2.794 eV/atom
SG ... P4/mmm, No. 123
Density ... 7957 kg/m3
Spin magnetization ... 0.00 μB per atom
Formation energy ... -7.00 kcal/mol of atoms

---

Entry 4:
DFT (GGA-PBE) results for BaDy2Cd3 after structural relaxation.

a b c (Å): 3.845 3.845 11.988
angles (deg): 90.00 90.00 90.00
Positions (direct):
Ba 0.500 0.500 0.500
Dy 0.500 0.500 0.848
Dy 0.500 0.500 0.152
Cd 0.000 0.000 0.000
Cd 0.000 0.000 0.705
Cd 0.000 0.000 0.295

Output
Crystal system ... tetragonal
Uncorrected energy ... -2.609 eV/atom
SG ... P4/mmm, No. 123
Density ... 7492 kg/m3
Spin magnetization ... 0.00 μB per atom
Formation energy ... -6.84 kcal/mol of atoms

---

Entry 5:
DFT (GGA-PBE) results for BaDyCd17 after structural relaxation.

a b c (Å): 7.763 7.763 7.763
angles (deg): 82.22 82.22 82.22
Positions (direct):
Ba 0.664 0.664 0.664
Dy 0.328 0.328 0.328
Cd 0.294 0.004 0.700
Cd 0.700 0.294 0.004
Cd 0.004 0.700 0.294
Cd 0.294 0.700 0.004
Cd 0.004 0.294 0.700
Cd 0.700 0.004 0.294
Cd 0.349 0.872 0.349
Cd 0.349 0.349 0.872
Cd 0.872 0.349 0.349
Cd 0.623 0.194 0.623
Cd 0.623 0.623 0.194
Cd 0.194 0.623 0.623
Cd 0.982 0.519 0.982
Cd 0.982 0.982 0.519
Cd 0.519 0.982 0.982
Cd 0.909 0.909 0.909
Cd 0.107 0.107 0.107

Output
Crystal system ... trigonal
Uncorrected energy ... -1.304 eV/atom
SG ... R3m, No. 160
Density ... 8050 kg/m3
Spin magnetization ... 0.00 μB per atom
Formation energy ... -3.27 kcal/mol of atoms

---

Entry 6:
DFT (GGA-PBE) results for Ba2DyCd after structural relaxation.

a b c (Å): 3.838 3.838 13.076
angles (deg): 81.56 81.56 60.00
Positions (direct):
Cd 0.500 0.500 0.500
Ba 0.093 0.093 0.720
Ba 0.907 0.907 0.280
Dy 0.000 0.000 0.000

Output
Crystal system ... trigonal
Uncorrected energy ... -2.066 eV/atom
SG ... R-3m, No. 166
Density ... 5550 kg/m3
Spin magnetization ... 0.00 μB per atom
Formation energy ... 6.34 kcal/mol of atoms

---

Entry 7:
DFT (GGA-PBE) results for Ba4DyCd5 after structural relaxation.

a b c (Å): 4.089 4.089 21.226
angles (deg): 90.00 90.00 90.00
Positions (direct):
Ba 0.000 0.000 0.185
Ba 0.000 0.000 0.395
Ba 0.000 0.000 0.605
Ba 0.000 0.000 0.815
Dy 0.000 0.000 0.000
Cd 0.500 0.500 0.075
Cd 0.500 0.500 0.291
Cd 0.500 0.500 0.500
Cd 0.500 0.500 0.709
Cd 0.500 0.500 0.925

Output
Crystal system ... tetragonal
Uncorrected energy ... -1.985 eV/atom
SG ... P4/mmm, No. 123
Density ... 5961 kg/m3
Spin magnetization ... 0.00 μB per atom
Formation energy ... -6.87 kcal/mol of atoms

---

Entry 8:
DFT (GGA-PBE) results for Ba3DyCd4 after structural relaxation.

a b c (Å): 4.055 4.055 16.915
angles (deg): 90.00 90.00 90.00
Positions (direct):
Cd 0.000 0.000 0.905
Cd 0.000 0.000 0.095
Cd 0.000 0.000 0.368
Cd 0.000 0.000 0.632
Ba 0.500 0.500 0.233
Ba 0.500 0.500 0.500
Ba 0.500 0.500 0.767
Dy 0.500 0.500 0.000

Output
Crystal system ... tetragonal
Uncorrected energy ... -2.049 eV/atom
SG ... P4/mmm, No. 123
Density ... 6114 kg/m3
Spin magnetization ... 0.00 μB per atom
Formation energy ... -6.80 kcal/mol of atoms